Record 1
Density functional theory data (PBE) for a geometry-optimized SrPm4Ni4 structure.

It has space group P4_2/n (No. 86, origin choice 2), with a = 9.190 Å, b = 9.190 Å, c = 5.530 Å, α = 90.00°, β = 90.00° and γ = 90.00°. The inequivalent atoms are Sr at (0.250, 0.250, 0.250), Pm at (0.083, 0.650, 0.152) and Ni at (0.050, 0.601, 0.644).

The calculation puts the formation energy from the elements at -0.150 eV per atom. As for the density of states at the Fermi level: 13.04 states/eV/cell. As for the energy: -5.0174 eV per atom.

=====

Record 2
Density functional theory data (PBE) for a geometry-optimized YThNiAu structure.

It has space group Amm2 (No. 38), with a = 4.250 Å, b = 3.834 Å, c = 11.517 Å, α = 90.00°, β = 90.00° and γ = 90.00°. The inequivalent atoms are Y at (0.000, 0.000, 0.000), Th at (0.500, 0.000, 0.722), Ni at (0.000, 0.000, 0.255) and Au at (0.500, 0.000, 0.434).

The calculation puts the formation energy from the elements at -0.612 eV per atom. As for the density of states at the Fermi level: 5.32 states/eV/cell. As for the energy: -6.3480 eV per atom. Its distance to the lowest polymorph of the same formula is 0 meV per atom.

=====

Record 3
Density functional theory data (PBE) for a geometry-optimized Li2Ta2Br structure.

It has space group I4/mmm (No. 139), with a = 3.652 Å, b = 3.652 Å, c = 17.440 Å, α = 90.00°, β = 90.00° and γ = 90.00°. The inequivalent atoms are Li at (0.000, 0.000, 0.091), Ta at (0.000, 0.500, 0.250) and Br at (0.000, 0.000, 0.500).

As for the density of states at the Fermi level: 9.79 states/eV/cell. As for the energy: -5.5984 eV per atom. Its distance to the lowest polymorph of the same formula is 0 meV per atom.

=====

Record 4
Density functional theory data (PBE) for a geometry-optimized SrLiMg3 structure.

It has space group P6_3/mmc (No. 194), with a = 7.2896 Å, b = 7.2896 Å, c = 6.0101 Å, α = 90.00°, β = 90.00° and γ = 120.00°. The inequivalent atoms are Sr at (0.3333, 0.6667, 0.2500), Li at (0.0000, 0.0000, 0.0000) and Mg at (0.1875, 0.3750, 0.7500).

The calculation puts the formation energy from the elements at 0.016 eV per atom. As for the density of states at the Fermi level: 8.22 states/eV/cell. As for the energy: -1.6597 eV per atom. Its distance to the lowest polymorph of the same formula is 32 meV per atom.

=====

Record 5
Density functional theory data (PBE) for a geometry-optimized PaTiBi4 structure.

It has space group I4/mcm (No. 140), with a = 7.342 Å, b = 7.342 Å, c = 12.731 Å, α = 90.00°, β = 90.00° and γ = 90.00°. The inequivalent atoms are Pa at (0.000, 0.000, 0.250), Ti at (0.000, 0.000, 0.000) and Bi at (0.157, 0.343, 0.121).

The calculation puts the formation energy from the elements at -0.038 eV per atom. As for the density of states at the Fermi level: 24.90 states/eV/cell. As for the energy: -5.5242 eV per atom. Its distance to the lowest polymorph of the same formula is 0 meV per atom.

=====

Record 6
Density functional theory data (PBE) for a geometry-optimized SrTbCu2Se4 structure.

It has space group I-42m (No. 121), with a = 6.976 Å, b = 6.976 Å, c = 8.105 Å, α = 90.00°, β = 90.00° and γ = 90.00°. The inequivalent atoms are Sr at (0.000, 0.000, 0.000), Tb at (0.000, 0.000, 0.500), Cu at (0.000, 0.500, 0.250) and Se at (0.223, 0.223, 0.284).

As for the density of states at the Fermi level: 6.19 states/eV/cell. As for the energy: -4.5752 eV per atom.

=====

Record 7
Density functional theory data (PBE) for a geometry-optimized BeGeN2F structure.

It has space group P4/mmm (No. 123), with a = 3.761 Å, b = 3.761 Å, c = 3.777 Å, α = 90.00°, β = 90.00° and γ = 90.00°. The inequivalent atoms are Be at (0.000, 0.000, 0.000), Ge at (0.500, 0.500, 0.500), N at (0.000, 0.500, 0.500) and F at (0.500, 0.500, 0.000).

As for the density of states at the Fermi level: 1.32 states/eV/cell. As for the energy: -4.7932 eV per atom. Its distance to the lowest polymorph of the same formula is 318 meV per atom.

=====

Record 8
Density functional theory data (PBE) for a geometry-optimized Cs3KAu structure.

It has space group R3c (No. 161, hexagonal axes), with a = 11.0950 Å, b = 11.0950 Å, c = 20.4637 Å, α = 90.00°, β = 90.00° and γ = 120.00°. The inequivalent atoms are Cs at (0.1315, 0.3716, 0.0000), K at (0.0000, 0.0000, 0.1265) and Au at (0.0000, 0.0000, 0.4516).

The calculation puts the formation energy from the elements at -0.121 eV per atom. As for the density of states at the Fermi level: 32.60 states/eV/cell. As for the energy: -1.5080 eV per atom. Its distance to the lowest polymorph of the same formula is 17 meV per atom.